[1]
# KNiHg2Cl8 (GGA-PBE, optimized geometry)
data_KNiHg2Cl8
_chemical_formula_sum 'K1 Ni1 Hg2 Cl8'
_space_group_name_H-M_alt 'P -1'
_space_group_IT_number 2
_cell_length_a 6.514
_cell_length_b 6.830
_cell_length_c 8.511
_cell_angle_alpha 70.57
_cell_angle_beta 82.50
_cell_angle_gamma 85.08
loop_
_space_group_symop_operation_xyz
'x,y,z'
'-x,-y,-z'
loop_
_atom_site_label
_atom_site_fract_x
_atom_site_fract_y
_atom_site_fract_z
_atom_site_occupancy
K1 0.000 0.000 0.000 1
Ni1 0.000 0.000 0.500 1
Hg1 0.473 0.442 0.264 1
Cl1 0.108 0.756 0.728 1
Cl2 0.198 0.851 0.336 1
Cl3 0.300 0.219 0.511 1
Cl4 0.410 0.276 0.971 1
# Uncorrected formation energy in meV/atom: -745.0
# Mass density in kg/m3: 3675

[2]
# YMg2Cu2 (GGA-PBE, optimized geometry)
data_YMg2Cu2
_chemical_formula_sum 'Y4 Mg8 Cu8'
_space_group_name_H-M_alt 'I b a m'
_space_group_IT_number 72
_space_group_name_Hall '-I 2 2c'
_cell_length_a 7.867
_cell_length_b 9.130
_cell_length_c 5.957
_cell_angle_alpha 90.00
_cell_angle_beta 90.00
_cell_angle_gamma 90.00
loop_
_atom_site_label
_atom_site_fract_x
_atom_site_fract_y
_atom_site_fract_z
_atom_site_occupancy
Y1 0.000 0.000 0.250 1
Mg1 0.117 0.362 0.000 1
Cu1 0.216 0.369 0.500 1
# Calculated formation energy in eV per atom: 0.108
# Mass density in kg/m3: 4107

[3]
# Th2ZnHgC (GGA-PBE, optimized geometry)
data_Th2ZnHgC
_chemical_formula_sum 'Th4 Zn2 Hg2 C2'
_space_group_name_H-M_alt 'P 1 21/m 1'
_space_group_IT_number 11
_cell_length_a 7.216
_cell_length_b 3.909
_cell_length_c 8.624
_cell_angle_alpha 90.00
_cell_angle_beta 107.85
_cell_angle_gamma 90.00
loop_
_space_group_symop_operation_xyz
'x,y,z'
'-x,-y,-z'
'-x,y+1/2,-z'
'x,-y+1/2,z'
loop_
_atom_site_label
_atom_site_fract_x
_atom_site_fract_y
_atom_site_fract_z
_atom_site_occupancy
Th1 0.177 0.250 0.374 1
Th2 0.201 0.250 0.966 1
Zn1 0.452 0.750 0.249 1
Hg1 0.292 0.750 0.691 1
C1 0.153 0.750 0.171 1
# Calculated formation energy in eV per atom: -0.202
# Mass density in kg/m3: 10645

[4]
# BaCa2GaNi (GGA-PBE, optimized geometry)
data_BaCa2GaNi
_chemical_formula_sum 'Ba1 Ca2 Ga1 Ni1'
_space_group_name_H-M_alt 'P 4/m m m'
_space_group_IT_number 123
_space_group_name_Hall '-P 4 2'
_cell_length_a 5.496
_cell_length_b 5.496
_cell_length_c 4.873
_cell_angle_alpha 90.00
_cell_angle_beta 90.00
_cell_angle_gamma 90.00
loop_
_atom_site_label
_atom_site_fract_x
_atom_site_fract_y
_atom_site_fract_z
_atom_site_occupancy
Ba1 0.000 0.000 0.000 1
Ca1 0.000 0.500 0.500 1
Ga1 0.500 0.500 0.000 1
Ni1 0.500 0.500 0.500 1
# Calculated formation energy in eV per atom: -0.149
# Mass density in kg/m3: 3903

[5]
# LaPm7Tl2 (GGA-PBE, optimized geometry)
data_LaPm7Tl2
_chemical_formula_sum 'La2 Pm14 Tl4'
_space_group_name_H-M_alt 'C m m m'
_space_group_IT_number 65
_space_group_name_Hall '-C 2 2'
_cell_length_a 9.326
_cell_length_b 15.792
_cell_length_c 5.561
_cell_angle_alpha 90.00
_cell_angle_beta 90.00
_cell_angle_gamma 90.00
loop_
_atom_site_label
_atom_site_fract_x
_atom_site_fract_y
_atom_site_fract_z
_atom_site_occupancy
La1 0.000 0.000 0.000 1
Pm1 0.000 0.230 0.000 1
Pm2 0.000 0.500 0.500 1
Pm3 0.181 0.121 0.500 1
Tl1 0.000 0.305 0.500 1
# Calculated formation energy in eV per atom: 0.328
# Mass density in kg/m3: 6337

[6]
# CsUPdSe2 (GGA-PBE, optimized geometry)
data_CsUPdSe2
_chemical_formula_sum 'Cs4 U4 Pd4 Se8'
_space_group_name_H-M_alt 'C m m e'
_space_group_IT_number 67
_space_group_name_Hall '-C 2a 2'
_cell_length_a 6.472
_cell_length_b 17.151
_cell_length_c 5.474
_cell_angle_alpha 90.00
_cell_angle_beta 90.00
_cell_angle_gamma 90.00
loop_
_atom_site_label
_atom_site_fract_x
_atom_site_fract_y
_atom_site_fract_z
_atom_site_occupancy
Cs1 0.000 0.250 0.235 1
U1 0.250 0.000 0.500 1
Pd1 0.000 0.000 0.000 1
Se1 0.000 0.117 0.730 1
# Uncorrected formation energy in meV/atom: -855.0
# Mass density in kg/m3: 6945